Record 1
Compound: Pr2DyY3S6
Source: the Alexandria database
Functional: PBE
Structure: optimized geometry

As for the total energy: -6.862 eV per atom. The calculation puts the magnetization at 0.00 μB/f.u. The calculation puts the density of states at the Fermi level at 5.26 states/eV/f.u.

The structure in POSCAR format:
```
Pr2DyY3S6
1.0
3.957 0.000 0.000
0.000 8.016 0.263
-1.978 -2.335 8.357
Pr Dy Y S
2 1 3 6
Direct
0.832 0.665 0.665
0.168 0.335 0.335
0.500 0.000 0.000
0.500 0.500 0.000
0.831 0.167 0.662
0.169 0.833 0.338
0.335 0.929 0.670
0.662 0.593 0.325
0.665 0.071 0.330
0.996 0.246 0.991
0.004 0.754 0.009
0.338 0.407 0.675
```


Record 2
Compound: PrDy2YS4
Source: the Alexandria database
Functional: PBE
Structure: optimized geometry

As for the total energy: -6.614 eV per atom. The calculation puts the magnetization at 0.00 μB/f.u. The calculation puts the density of states at the Fermi level at 4.66 states/eV/f.u.

The structure in POSCAR format:
```
PrDy2YS4
1.0
3.916 0.000 0.000
0.000 6.898 -0.187
0.000 2.404 6.442
Pr Dy Y S
1 2 1 4
Direct
0.500 0.500 0.000
0.000 0.000 0.000
0.500 0.000 0.500
0.000 0.500 0.500
0.000 0.763 0.738
0.000 0.237 0.262
0.500 0.757 0.255
0.500 0.243 0.745
```


Record 3
Compound: Pr2DyYS4
Source: the Alexandria database
Functional: PBE
Structure: optimized geometry

As for the total energy: -6.655 eV per atom. The calculation puts the magnetization at 0.00 μB/f.u. The calculation puts the density of states at the Fermi level at 4.05 states/eV/f.u.

The structure in POSCAR format:
```
Pr2DyYS4
1.0
3.948 0.000 0.000
0.000 6.881 0.124
0.000 -2.392 6.668
Pr Dy Y S
2 1 1 4
Direct
0.500 0.000 0.500
0.000 0.500 0.500
0.500 0.500 0.000
0.000 0.000 0.000
0.500 0.244 0.231
0.500 0.756 0.769
0.000 0.257 0.769
0.000 0.743 0.231
```


Record 4
Compound: PrDy2YS6
Source: the Alexandria database
Functional: PBE
Structure: optimized geometry

As for the total energy: -6.567 eV per atom. The calculation puts the magnetization at 0.00 μB/f.u. The calculation puts the density of states at the Fermi level at 0.00 states/eV/f.u.

The structure in POSCAR format:
```
PrDy2YS6
1.0
-1.231 -6.148 3.121
0.063 -5.910 -3.759
5.676 -4.666 0.905
Pr Dy Y S
1 2 1 6
Direct
0.809 0.809 0.573
0.518 0.518 0.446
0.014 0.014 0.957
0.316 0.316 0.053
0.616 0.224 0.247
0.224 0.914 0.247
0.914 0.616 0.247
0.395 0.721 0.749
0.721 0.135 0.749
0.135 0.395 0.749
```


Record 5
Compound: PrDyYS3
Source: the Alexandria database
Functional: PBE
Structure: optimized geometry

As for the total energy: -6.642 eV per atom. The calculation puts the magnetization at 0.00 μB/f.u. The calculation puts the density of states at the Fermi level at 3.45 states/eV/f.u.

The structure in POSCAR format:
```
PrDyYS3
1.0
3.906 0.000 0.000
0.000 6.870 -0.138
0.000 -2.062 10.155
Pr Dy Y S
2 2 2 6
Direct
0.250 0.343 0.305
0.750 0.657 0.695
0.250 0.766 0.056
0.750 0.234 0.944
0.250 0.127 0.632
0.750 0.873 0.368
0.750 0.050 0.155
0.250 0.950 0.845
0.250 0.727 0.501
0.750 0.273 0.499
0.750 0.548 0.160
0.250 0.452 0.840
```


Record 6
Compound: PrDy3Y2S6
Source: the Alexandria database
Functional: PBE
Structure: optimized geometry

As for the total energy: -6.689 eV per atom. The calculation puts the magnetization at 0.00 μB/f.u. The calculation puts the density of states at the Fermi level at 5.01 states/eV/f.u.

The structure in POSCAR format:
```
PrDy3Y2S6
1.0
6.835 -0.011 -0.001
-3.425 5.915 -0.001
-1.138 -1.971 6.443
Pr Dy Y S
1 3 2 6
Direct
0.000 0.000 0.000
0.162 0.838 0.500
0.838 0.162 0.500
0.500 0.500 0.500
0.334 0.666 0.000
0.666 0.334 0.000
0.914 0.571 0.742
0.742 0.742 0.254
0.086 0.429 0.258
0.571 0.914 0.742
0.258 0.258 0.746
0.429 0.086 0.258
```


Record 7
Compound: Pr3DyY2S6
Source: the Alexandria database
Functional: PBE
Structure: optimized geometry

As for the total energy: -6.737 eV per atom. The calculation puts the magnetization at 0.00 μB/f.u. The calculation puts the density of states at the Fermi level at 5.35 states/eV/f.u.

The structure in POSCAR format:
```
Pr3DyY2S6
1.0
-0.001 2.696 -6.347
-5.938 -1.849 2.979
1.387 5.817 3.718
Pr Dy Y S
3 1 2 6
Direct
0.167 0.833 0.500
0.833 0.167 0.500
0.500 0.500 0.500
0.000 0.000 0.000
0.333 0.667 0.000
0.667 0.333 0.000
0.923 0.590 0.768
0.745 0.745 0.232
0.077 0.410 0.232
0.590 0.923 0.768
0.255 0.255 0.768
0.410 0.077 0.232
```


Record 8
Compound: Pr2DyZnS5
Source: the Alexandria database
Functional: PBE
Structure: optimized geometry

As for the total energy: -5.764 eV per atom. The calculation puts the magnetization at 0.00 μB/f.u. The calculation puts the density of states at the Fermi level at 0.87 states/eV/f.u.

The structure in POSCAR format:
```
Pr2DyZnS5
1.0
3.894 0.000 0.000
-1.947 8.523 0.000
0.000 0.000 12.037
Pr Dy Zn S
4 2 2 10
Direct
0.868 0.737 0.820
0.115 0.230 0.685
0.132 0.263 0.320
0.885 0.770 0.185
0.803 0.605 0.516
0.197 0.395 0.016
0.546 0.091 0.945
0.454 0.909 0.445
0.356 0.711 0.005
0.684 0.367 0.857
0.493 0.987 0.771
0.291 0.583 0.675
0.961 0.921 0.550
0.644 0.289 0.505
0.316 0.633 0.357
0.507 0.013 0.271
0.709 0.417 0.175
0.039 0.079 0.050
```


Record 9
Compound: Pr2Dy2Sb5
Source: the Alexandria database
Functional: PBE
Structure: optimized geometry

As for the total energy: -5.262 eV per atom. The calculation puts the magnetization at 0.00 μB/f.u. The calculation puts the density of states at the Fermi level at 7.12 states/eV/f.u.

The structure in POSCAR format:
```
Pr2Dy2Sb5
1.0
8.291 0.000 0.000
0.000 7.751 -4.660
0.000 -0.897 8.999
Pr Dy Sb
4 4 10
Direct
0.000 0.809 0.191
0.500 0.309 0.691
0.000 0.191 0.809
0.500 0.691 0.309
0.338 0.158 0.158
0.662 0.842 0.842
0.838 0.342 0.342
0.162 0.658 0.658
0.000 0.000 0.000
0.500 0.500 0.500
0.142 0.224 0.494
0.858 0.506 0.776
0.642 0.006 0.276
0.358 0.724 0.994
0.858 0.776 0.506
0.142 0.494 0.224
0.358 0.994 0.724
0.642 0.276 0.006
```


Record 10
Compound: Pr3DySb4
Source: the Alexandria database
Functional: PBE
Structure: optimized geometry

As for the total energy: -5.600 eV per atom. The calculation puts the magnetization at 0.00 μB/f.u. The calculation puts the density of states at the Fermi level at 0.51 states/eV/f.u.

The structure in POSCAR format:
```
Pr3DySb4
1.0
7.819 0.069 0.000
-2.675 7.344 0.000
0.000 0.000 9.049
Pr Sb Dy
6 8 2
Direct
0.750 0.000 0.374
0.250 0.000 0.626
0.750 0.500 0.626
0.750 0.500 0.124
0.250 0.500 0.374
0.250 0.500 0.876
0.996 0.246 0.629
0.500 0.242 0.879
0.496 0.246 0.371
0.000 0.242 0.121
0.000 0.758 0.879
0.504 0.754 0.629
0.500 0.758 0.121
0.004 0.754 0.371
0.750 0.000 0.876
0.250 0.000 0.124
```


Record 11
Compound: PrDySb
Source: the Alexandria database
Functional: PBE
Structure: optimized geometry

As for the total energy: -4.966 eV per atom. The calculation puts the magnetization at 0.00 μB/f.u. The calculation puts the density of states at the Fermi level at 3.12 states/eV/f.u.

The structure in POSCAR format:
```
PrDySb
1.0
4.173 0.000 0.000
0.000 5.116 0.000
0.000 -2.558 4.431
Pr Sb Dy
1 1 1
Direct
0.629 0.667 0.333
0.262 0.333 0.667
0.109 0.000 0.000
```


Record 12
Compound: Pr2DySb3
Source: the Alexandria database
Functional: PBE
Structure: optimized geometry

As for the total energy: -5.584 eV per atom. The calculation puts the magnetization at 0.00 μB/f.u. As for the energy relative to the lowest polymorph listed for this composition: 0.06 kcal/mol of atoms. The calculation puts the density of states at the Fermi level at 1.20 states/eV/f.u.

The structure in POSCAR format:
```
Pr2DySb3
1.0
-0.977 3.959 -1.913
-2.522 -3.037 -4.999
-4.270 -0.474 6.501
Pr Dy Sb
2 1 3
Direct
0.668 0.168 0.336
0.332 0.832 0.664
0.000 0.500 0.000
0.339 0.339 0.679
0.000 0.000 0.000
0.661 0.661 0.321
```


Record 13
Compound: PrDy2Sb3
Source: the Alexandria database
Functional: PBE
Structure: optimized geometry

As for the total energy: -5.534 eV per atom. The calculation puts the magnetization at 0.00 μB/f.u. The calculation puts the density of states at the Fermi level at 1.21 states/eV/f.u.

The structure in POSCAR format:
```
PrDy2Sb3
1.0
4.444 0.000 0.000
0.000 6.290 0.000
-2.222 -3.145 6.661
Pr Dy Sb
1 2 3
Direct
0.500 0.500 0.500
0.835 0.835 0.170
0.165 0.165 0.830
0.827 0.327 0.155
0.173 0.673 0.845
0.500 0.000 0.500
```


Record 14
Compound: PrDySb2
Source: the Alexandria database
Functional: PBE
Structure: optimized geometry

As for the total energy: -5.564 eV per atom. The calculation puts the magnetization at 0.00 μB/f.u. As for the energy relative to the lowest polymorph listed for this composition: 0.00 kcal/mol of atoms. The calculation puts the density of states at the Fermi level at 0.65 states/eV/f.u.

The structure in POSCAR format:
```
PrDySb2
1.0
-4.473 -0.062 0.154
2.122 -0.924 -3.831
2.438 -6.718 2.965
Pr Dy Sb
1 1 2
Direct
0.000 0.500 0.500
0.000 0.000 0.000
0.507 0.254 0.761
0.493 0.746 0.239
```


Record 15
Compound: PrDy3Sb3
Source: the Alexandria database
Functional: PBE
Structure: optimized geometry

As for the total energy: -5.320 eV per atom. The calculation puts the magnetization at 0.00 μB/f.u. As for the energy relative to the lowest polymorph listed for this composition: 2.39 kcal/mol of atoms. The calculation puts the density of states at the Fermi level at 4.17 states/eV/f.u.

The structure in POSCAR format:
```
PrDy3Sb3
1.0
9.138 0.000 0.000
4.569 7.914 0.000
4.569 2.638 6.151
Pr Dy Sb
2 6 6
Direct
0.334 0.334 0.997
0.666 0.666 0.003
0.184 0.649 0.255
0.913 0.184 0.255
0.649 0.913 0.255
0.351 0.087 0.745
0.087 0.816 0.745
0.816 0.351 0.745
0.462 0.707 0.753
0.707 0.078 0.753
0.078 0.462 0.753
0.922 0.538 0.247
0.293 0.922 0.247
0.538 0.293 0.247
```


Record 16
Compound: Pr5DySb6
Source: the Alexandria database
Functional: PBE
Structure: optimized geometry

As for the total energy: -5.614 eV per atom. The calculation puts the magnetization at 0.00 μB/f.u. The calculation puts the density of states at the Fermi level at 1.77 states/eV/f.u.

The structure in POSCAR format:
```
Pr5DySb6
1.0
7.845 0.216 0.000
2.416 7.464 0.000
1.208 3.732 6.796
Pr Dy Sb
5 1 6
Direct
0.500 0.169 0.663
0.000 0.334 0.332
0.500 0.500 0.000
0.000 0.666 0.668
0.500 0.831 0.337
0.000 0.000 0.000
0.754 0.082 0.328
0.246 0.591 0.328
0.248 0.245 0.000
0.752 0.755 0.000
0.754 0.409 0.672
0.246 0.918 0.672
```


Record 17
Compound: PrDy3Sb2
Source: the Alexandria database
Functional: PBE
Structure: optimized geometry

As for the total energy: -5.172 eV per atom. The calculation puts the magnetization at 0.25 μB/f.u. The calculation puts the density of states at the Fermi level at 6.34 states/eV/f.u.

The structure in POSCAR format:
```
PrDy3Sb2
1.0
-0.279 -3.051 -3.128
9.262 4.602 -2.249
-1.249 -6.855 6.796
Pr Dy Sb
2 6 4
Direct
0.889 0.777 0.899
0.111 0.223 0.101
0.312 0.623 0.513
0.942 0.885 0.561
0.644 0.288 0.812
0.356 0.712 0.188
0.058 0.115 0.439
0.688 0.377 0.487
0.489 0.977 0.821
0.511 0.023 0.179
0.755 0.510 0.224
0.245 0.490 0.776
```


Record 18
Compound: Pr3DySb2
Source: the Alexandria database
Functional: PBE
Structure: optimized geometry

As for the total energy: -5.150 eV per atom. The calculation puts the magnetization at 0.12 μB/f.u. As for the energy relative to the lowest polymorph listed for this composition: 4.76 kcal/mol of atoms. The calculation puts the density of states at the Fermi level at 6.98 states/eV/f.u.

The structure in POSCAR format:
```
Pr3DySb2
1.0
-0.232 -4.511 -5.700
3.721 -5.635 4.308
-8.216 2.536 2.966
Pr Dy Sb
6 2 4
Direct
0.500 0.250 0.000
0.500 0.750 0.000
0.790 0.040 0.581
0.210 0.460 0.419
0.210 0.960 0.419
0.790 0.540 0.581
0.000 0.500 0.000
0.000 0.000 0.000
0.538 0.356 0.712
0.826 0.144 0.288
0.174 0.856 0.712
0.462 0.644 0.288
```


Record 19
Compound: Pr2DySb3
Source: the Alexandria database
Functional: PBE
Structure: optimized geometry

As for the total energy: -5.587 eV per atom. The calculation puts the magnetization at 0.00 μB/f.u. As for the energy relative to the lowest polymorph listed for this composition: 0.00 kcal/mol of atoms. The calculation puts the density of states at the Fermi level at 1.09 states/eV/f.u.

The structure in POSCAR format:
```
Pr2DySb3
1.0
0.190 -7.718 -1.099
5.663 3.502 4.060
-5.786 0.430 5.203
Pr Dy Sb
4 2 6
Direct
0.833 0.167 0.500
0.333 0.667 0.000
0.169 0.831 0.500
0.498 0.502 0.500
0.001 0.999 0.000
0.666 0.334 0.000
0.593 0.926 0.759
0.074 0.407 0.241
0.913 0.585 0.757
0.252 0.246 0.757
0.415 0.087 0.243
0.754 0.748 0.243
```


Record 20
Compound: PrDy3Sb4
Source: the Alexandria database
Functional: PBE
Structure: optimized geometry

As for the total energy: -5.522 eV per atom. The calculation puts the magnetization at 0.00 μB/f.u. The calculation puts the density of states at the Fermi level at 0.50 states/eV/f.u.

The structure in POSCAR format:
```
PrDy3Sb4
1.0
-3.949 3.223 -3.636
-1.532 -5.273 -3.009
-4.611 -1.008 4.115
Pr Dy Sb
1 3 4
Direct
0.000 0.000 0.000
0.000 0.500 0.500
0.500 0.000 0.500
0.500 0.500 0.000
0.500 0.000 0.000
0.000 0.500 0.000
0.000 0.000 0.500
0.500 0.500 0.500
```


Record 21
Compound: Pr3DySb3
Source: the Alexandria database
Functional: PBE
Structure: optimized geometry

As for the total energy: -5.416 eV per atom. The calculation puts the magnetization at 0.00 μB/f.u. As for the energy relative to the lowest polymorph listed for this composition: 2.22 kcal/mol of atoms. The calculation puts the density of states at the Fermi level at 4.73 states/eV/f.u.

The structure in POSCAR format:
```
Pr3DySb3
1.0
9.242 0.000 0.000
4.621 8.004 0.000
4.621 2.668 6.352
Pr Dy Sb
6 2 6
Direct
0.348 0.821 0.737
0.821 0.093 0.737
0.093 0.348 0.737
0.907 0.652 0.263
0.179 0.907 0.263
0.652 0.179 0.263
0.333 0.333 0.002
0.667 0.667 0.998
0.307 0.532 0.233
0.928 0.307 0.233
0.532 0.928 0.233
0.468 0.072 0.767
0.072 0.693 0.767
0.693 0.468 0.767
```


| no. | calculated density (Mg/m³) |
| --- | --- |
| 1 | 5.61 |
| 2 | 6.45 |
| 3 | 6.03 |
| 4 | 4.71 |
| 5 | 5.98 |
| 6 | 6.37 |
| 7 | 5.80 |
| 8 | 5.57 |
| 9 | 7.43 |
| 10 | 6.83 |
| 11 | 7.46 |
| 12 | 6.95 |
| 13 | 7.41 |
| 14 | 7.18 |
| 15 | 7.42 |
| 16 | 6.73 |
| 17 | 8.05 |
| 18 | 6.46 |
| 19 | 6.95 |
| 20 | 7.54 |
| 21 | 6.72 |